MgSc2Os | PBE | optimized geometry

Geometry as POSCAR:
```
MgSc2Os
1.0
3.2668 0.0000 0.0000
0.0000 3.2668 0.0000
0.0000 0.0000 7.5913
Os Sc Mg
1 2 1
Cartesian
1.6334 1.6334 5.6935
0.0000 0.0000 4.1653
0.0000 0.0000 7.2216
1.6334 1.6334 1.8978
```

Its space-group type is P4/mmm. The value obtained for the formation energy is -0.34 eV per atom. The calculation puts the density at 6.2 g cm⁻³.

***

DyGaTe2 | PBE | optimized geometry

Geometry as POSCAR:
```
DyGaTe2
1.0
4.2808 0.0000 0.0000
2.1404 3.7073 0.0000
2.1404 1.2358 7.9311
Te Dy Ga
2 1 1
Cartesian
2.1404 1.2358 2.0524
2.1404 1.2358 5.8565
4.2808 2.4715 3.9816
4.2808 2.4715 0.0061
```

As for the energy relative to the elements, uncorrected: -81.9 kJ/mol of atoms. Its space-group type is R3m. The calculation puts the density at 6.4 g cm⁻³.

***

Li3MgCd4 | PBE | optimized geometry

Geometry as POSCAR:
```
Li3MgCd4
1.0
3.0913 0.0000 0.0000
0.0000 4.8540 -0.5184
-1.5456 -1.6368 11.3819
Cd Mg Li
4 1 3
Cartesian
0.0000 0.7297 8.9555
1.5456 2.4876 1.9080
0.0000 2.7440 4.5323
1.5456 0.4733 6.3312
1.5456 0.0000 0.0000
0.0000 2.4270 -0.2592
0.0000 3.0250 7.3788
1.5456 0.1922 3.4847
```

Its space-group type is C2/m. The value obtained for the formation energy is -0.08 eV per atom. The calculation puts the density at 4.9 g cm⁻³.

***

Na3Sm3OsO8 | PBE | optimized geometry

Geometry as POSCAR:
```
Na3Sm3OsO8
1.0
6.8581 0.0001 -0.0002
-3.4290 5.9394 -0.0202
-0.0003 -3.9403 5.5961
O Sm Na Os
8 3 3 1
Cartesian
-1.8971 3.0885 3.9027
5.3260 -1.0893 1.6730
-0.0001 1.9854 1.5743
-0.0001 -0.1974 3.9138
3.4289 0.0137 4.0014
1.8970 3.0885 3.9026
3.4289 2.1966 1.6619
1.5318 -1.0893 1.6731
-1.7146 0.9996 2.7880
1.7144 0.9996 2.7879
3.4289 -1.9701 2.7979
0.0000 0.0000 0.0000
1.7146 2.9697 -0.0102
-1.7145 2.9697 -0.0101
-0.0001 -1.9701 2.7980
```

As for the energy relative to the elements, uncorrected: -218.7 kJ/mol of atoms. Its space-group type is R-3m. The calculation puts the density at 6.1 g cm⁻³.

***

YTe | PBE | optimized geometry

Geometry as POSCAR:
```
YTe
1.0
-1.7535 3.6948 1.1896
-1.2975 -1.7882 3.6415
5.5417 1.7220 2.8202
Te Y
2 2
Cartesian
5.0880 1.5810 2.5893
0.3136 1.5248 3.3515
2.9773 2.3525 4.7071
2.4243 0.7533 1.2337
```

As for the energy relative to the elements, uncorrected: -128.3 kJ/mol of atoms. Its space-group type is P4/nmm. The calculation puts the density at 6.1 g cm⁻³.

***

K2RbZn2 | PBE | optimized geometry

Geometry as POSCAR:
```
K2RbZn2
1.0
-3.8833 1.3955 8.2809
8.1208 -1.6991 4.0945
1.2053 5.0657 -0.2884
K Zn Rb
4 4 2
Cartesian
0.0562 3.1307 8.0707
4.7321 2.0599 8.8056
0.7108 2.7022 3.2814
5.3867 1.6315 4.0162
5.7598 -0.9713 7.0102
-1.5222 0.6677 5.3652
2.8724 -0.5433 2.4616
1.3652 0.2397 9.9138
2.1188 -0.1518 6.1877
0.0000 0.0000 0.0000
```

Its space-group type is P4/mbm. The value obtained for the formation energy is 0.12 eV per atom. The calculation puts the density at 2.2 g cm⁻³.

***

Ac8Ir2Au3 | PBE | optimized geometry

Geometry as POSCAR:
```
Ac8Ir2Au3
1.0
1.7309 -6.9798 1.8331
2.0801 -4.2775 -7.7322
8.6089 -1.3024 -2.5692
Ac Au Ir
8 3 2
Cartesian
9.6864 -6.5541 -8.4722
5.5533 -5.9352 -7.4527
8.8755 -4.4214 -4.8255
6.8666 -6.6244 -1.0156
2.7336 -6.0056 0.0039
8.0846 -8.8666 -5.1142
3.5444 -8.1383 -3.6428
4.3353 -3.6931 -3.3541
3.7148 -3.5326 -6.4394
0.8655 -3.4899 0.9165
6.9741 -2.0474 -3.8620
4.4157 -8.3677 -0.7622
8.0042 -4.1919 -7.7061
```

Its space-group type is C2/m. The value obtained for the formation energy is -0.61 eV per atom. The calculation puts the density at 9.4 g cm⁻³.

***

TlGa3Sn3 | PBE | optimized geometry

Geometry as POSCAR:
```
TlGa3Sn3
1.0
6.5039 0.0000 1.9440
2.9614 5.7906 1.9440
0.6380 0.3903 9.7172
Ga Sn Tl
6 6 2
Cartesian
5.4272 1.1695 3.3189
6.0344 0.7932 9.9210
4.0690 5.3878 3.6842
8.2503 4.2995 4.7350
1.8531 1.8815 8.8703
4.6762 5.0114 10.2864
5.7623 5.3461 6.1513
6.9522 1.8528 5.8682
3.4599 2.6961 4.9786
3.1513 4.3281 7.7370
4.3412 0.8349 7.4539
6.6436 3.4849 8.6267
3.1192 1.9082 1.4162
6.9843 4.2727 12.1890
```

Its space-group type is R-3. The value obtained for the formation energy is 0.08 eV per atom. The calculation puts the density at 7.2 g cm⁻³.

***

Y2Ho3Er | PBE | optimized geometry

Geometry as POSCAR:
```
Y2Ho3Er
1.0
-6.2307 0.3919 -2.3647
-0.8930 -6.6125 1.2570
0.4829 2.9263 8.6360
Y Ho Er
4 6 2
Cartesian
-1.6258 -0.3989 5.4255
-3.7699 0.3606 1.7774
-5.0150 -2.8954 2.1028
-2.8709 -3.6550 5.7509
-6.1889 -4.0238 5.1807
-5.0574 -0.7606 4.8122
-0.4519 0.7295 2.3476
-2.2431 -4.8604 0.3456
-1.5834 -2.5337 2.7161
-4.8806 -1.3602 -1.4533
-1.8632 -1.5500 -0.3081
-5.2605 -4.6707 -0.7995
```

Its space-group type is C2/c. The value obtained for the formation energy is 0.14 eV per atom. The calculation puts the density at 7.3 g cm⁻³.

***

U2ZnIr | PBE | optimized geometry

Geometry as POSCAR:
```
U2ZnIr
1.0
4.3014 0.0000 0.0000
0.0000 4.1345 0.0000
0.0000 0.0000 4.1345
U Zn Ir
2 1 1
Cartesian
0.0000 0.0000 2.0672
0.0000 2.0672 0.0000
2.1507 2.0672 2.0672
2.1507 0.0000 0.0000
```

Its space-group type is P4/mmm. The value obtained for the formation energy is -0.15 eV per atom. The calculation puts the density at 16.6 g cm⁻³.

***

TlCuW | PBE | optimized geometry

Geometry as POSCAR:
```
TlCuW
1.0
4.5433 0.0000 0.0000
-2.2717 3.9346 0.0000
0.0000 0.0000 2.8759
W Cu Tl
1 1 1
Cartesian
0.0000 2.6231 1.9167
0.0000 0.0000 0.4791
2.2717 1.3115 0.4802
```

Its space-group type is P-6m2. The value obtained for the formation energy is 0.96 eV per atom. The calculation puts the density at 14.6 g cm⁻³.

***

MgTl2Fe | PBE | optimized geometry

Geometry as POSCAR:
```
MgTl2Fe
1.0
5.2706 -0.0432 0.0000
1.5018 5.0523 0.0000
-3.3862 -2.5045 3.1689
Tl Fe Mg
2 1 1
Cartesian
0.0000 0.0000 0.0000
3.3862 2.5045 0.0000
0.7509 2.5261 1.5844
2.6353 -0.0216 1.5844
```

Its space-group type is I4/mmm. The value obtained for the formation energy is 0.41 eV per atom. The calculation puts the density at 9.6 g cm⁻³.